Record 1
The following is a SCAN calculation of a crystal of Li6Mn5O10 relaxed with PBEsol, from Alexandria.

Formation energy without anion corrections = -44.943 eV/f.u.
D(E_F) = 1.60 states/eV/cell

```
Li6Mn5O10
1.0
5.096 0.001 0.000
0.278 5.636 0.000
-0.139 -2.818 7.187
O Li Mn
10 6 5
Cartesian
3.892 0.646 1.678 O
4.078 0.708 4.357 O
1.393 4.956 1.516 O
1.125 -0.772 4.388 O
4.311 3.725 0.000 O
1.171 2.003 0.000 O
4.031 3.464 5.509 O
4.217 3.526 2.830 O
1.254 2.138 5.671 O
1.264 2.046 2.799 O
1.958 -1.803 5.873 Li
3.175 4.370 1.442 Li
3.012 -0.911 4.067 Li
2.097 1.015 1.314 Li
3.036 1.552 5.745 Li
3.151 1.907 3.120 Li
0.253 2.881 4.264 Mn
0.301 2.968 1.416 Mn
4.943 0.100 0.000 Mn
0.114 0.063 2.923 Mn
0.162 0.150 5.771 Mn
```


Record 2
The following is a SCAN calculation of a crystal of RuRh2Au relaxed with PBEsol, from Alexandria.

ΔE to the lowest computed polymorph = 0.0000 eV per atom
D(E_F) = 4.01 states/eV/cell
E_form = 0.3 eV per formula unit

```
RuRh2Au
1.0
-1.713 -1.776 1.125
1.996 -0.918 1.590
-1.888 5.242 5.397
Au Ru Rh
1 1 2
Cartesian
-0.803 1.274 4.056 Au
0.141 -1.347 1.358 Ru
-0.436 1.210 1.246 Rh
-1.452 4.031 4.151 Rh
```


Record 3
The following is a SCAN calculation of a crystal of TaCd2Ru relaxed with PBEsol, from Alexandria.

ΔE to the lowest computed polymorph = 0.0000 eV per atom
D(E_F) = 1.65 states/eV/cell
E_form = 0.8 eV per formula unit

```
TaCd2Ru
1.0
-1.735 2.308 1.480
-1.819 -3.032 2.597
3.544 0.613 3.199
Cd Ru Ta
2 1 1
Cartesian
0.000 0.000 0.000 Cd
-1.777 -0.362 2.038 Cd
0.905 1.461 2.339 Ru
0.863 -1.209 2.898 Ta
```


Record 4
The following is a SCAN calculation of a crystal of SbAsRhSe2 relaxed with PBEsol, from Alexandria.

Formation energy without anion corrections = 1.604 eV/f.u.
D(E_F) = 3.69 states/eV/cell

```
SbAsRhSe2
1.0
-3.841 -0.204 2.429
-2.562 -0.944 -4.129
0.690 -4.854 0.682
Se As Rh Sb
2 1 1 1
Cartesian
0.345 -2.427 0.341 Se
-1.281 -0.472 -2.065 Se
-1.920 -0.102 1.215 As
0.000 0.000 0.000 Rh
-2.856 -3.001 -0.509 Sb
```


Record 5
The following is a SCAN calculation of a crystal of Hg8Br3O4 relaxed with PBEsol, from Alexandria.

Formation energy without anion corrections = -5.411 eV/f.u.

```
Hg8Br3O4
1.0
-3.696 -4.285 2.704
0.553 -4.010 -5.599
25.512 -15.949 9.595
O Hg Br
16 32 12
Cartesian
15.899 -16.199 9.074 O
7.583 -7.030 1.004 O
6.471 -8.045 -2.374 O
4.489 -8.988 0.694 O
17.880 -15.255 6.006 O
24.412 -18.274 7.613 O
10.655 -11.686 6.524 O
14.786 -17.214 5.696 O
18.663 -17.115 9.723 O
6.401 -10.893 1.967 O
15.968 -13.351 4.733 O
3.707 -7.128 -3.023 O
2.697 -6.141 3.008 O
19.672 -18.103 3.693 O
11.714 -12.558 0.176 O
-2.043 -5.969 -0.913 O
20.676 -19.835 5.214 Hg
4.303 -8.262 -1.268 Hg
9.913 -13.226 5.210 Hg
24.066 -17.995 9.723 Hg
14.412 -11.963 5.513 Hg
10.546 -7.868 3.838 Hg
16.007 -12.902 2.547 Hg
7.957 -12.281 1.187 Hg
18.067 -15.982 7.968 Hg
-0.323 -5.369 0.216 Hg
6.912 -8.916 1.495 Hg
9.785 -14.063 0.925 Hg
11.823 -16.376 2.863 Hg
22.692 -18.875 6.484 Hg
-1.697 -6.248 -3.023 Hg
1.694 -4.408 1.486 Hg
18.826 -16.634 4.828 Hg
17.955 -12.872 5.471 Hg
12.584 -10.181 5.775 Hg
21.720 -20.665 8.921 Hg
6.362 -11.341 4.153 Hg
4.414 -11.372 1.229 Hg
1.134 -6.846 4.152 Hg
15.650 -18.662 4.547 Hg
15.458 -15.328 5.205 Hg
19.859 -18.920 9.206 Hg
2.510 -5.324 -2.506 Hg
3.543 -7.609 1.872 Hg
21.236 -17.398 2.548 Hg
0.650 -3.579 -2.221 Hg
6.719 -5.582 2.153 Hg
12.456 -11.017 1.490 Hg
4.419 -5.214 -0.085 Br
1.498 -1.403 -0.098 Br
13.136 -14.382 7.010 Br
12.722 -13.479 3.223 Br
16.690 -16.076 2.470 Br
9.234 -9.862 -0.310 Br
9.647 -10.765 3.477 Br
17.951 -19.029 6.785 Br
20.871 -22.841 6.798 Br
5.679 -8.168 4.230 Br
21.236 -16.384 7.636 Br
1.133 -7.859 -0.935 Br
```


Record 6
The following is a SCAN calculation of a crystal of K2Au relaxed with PBEsol, from Alexandria.

D(E_F) = 3.16 states/eV/cell
E_form = -0.7 eV per formula unit

```
K2Au
1.0
4.225 0.000 0.000
0.000 7.854 0.000
0.000 0.000 8.113
K Au
4 2
Cartesian
0.000 1.882 5.428 K
2.112 2.045 1.372 K
0.000 5.972 2.685 K
2.112 5.809 6.741 K
0.000 0.000 0.000 Au
2.112 3.927 4.057 Au
```


Record 7
The following is a SCAN calculation of a crystal of TcRu3Pt relaxed with PBEsol, from Alexandria.

D(E_F) = 7.05 states/eV/cell
E_form = 11.4 eV per formula unit

```
TcRu3Pt
1.0
4.597 0.000 0.000
0.000 4.597 0.000
0.000 0.000 4.597
Ru Tc Pt
3 1 1
Cartesian
2.298 0.000 0.000 Ru
0.000 0.000 2.298 Ru
0.000 2.298 0.000 Ru
2.298 2.298 2.298 Tc
0.000 0.000 0.000 Pt
```


Record 8
The following is a SCAN calculation of a crystal of LaSi3H relaxed with PBEsol, from Alexandria.

D(E_F) = 3.91 states/eV/cell
Electronic total energy = -67.0 eV/cell

```
LaSi3H
1.0
-3.330 4.026 1.866
-3.377 -3.813 2.199
2.878 0.184 4.739
Si La H
3 1 1
Cartesian
1.439 0.092 2.370 Si
-1.665 2.013 0.933 Si
-1.689 -1.906 1.099 Si
0.000 0.000 0.000 La
-1.915 0.199 4.402 H
```


| no. | calculated density (Mg/m³) |
| --- | --- |
| 1 | 3.8 |
| 2 | 14.7 |
| 3 | 12.3 |
| 4 | 6.8 |
| 5 | 9.3 |
| 6 | 3.4 |
| 7 | 10.2 |
| 8 | 2.2 |